i:
A plane-wave DFT calculation with PBE was carried out for a relaxed structure of TcC3Se.

Results
The calculation puts the density of states at the Fermi level at 1.296 states/eV per atom. Its symmetry is Pm-3m (221).

Unit cell a=3.822 b=3.822 c=3.822 alpha=90.00 beta=90.00 gamma=90.00
Fractional coordinates of all 5 atoms:
Tc  0.000  0.000  0.000
C  0.000  0.500  0.500
C  0.500  0.000  0.500
C  0.500  0.500  0.000
Se  0.500  0.500  0.500



ii:
A plane-wave DFT calculation with PBE was carried out for a relaxed structure of TcC3Se.

Results
The calculation puts the density of states at the Fermi level at 1.129 states/eV per atom. Its symmetry is Pm-3m (221).

Unit cell a=4.083 b=4.083 c=4.083 alpha=90.00 beta=90.00 gamma=90.00
Fractional coordinates of all 5 atoms:
Tc  0.000  0.000  0.000
C  0.000  0.000  0.500
C  0.000  0.500  0.000
C  0.500  0.000  0.000
Se  0.500  0.500  0.500



Most favorable structure: ii. The second most favorable one is 817 meV/atom above it.



i:
A plane-wave DFT calculation with PBE was carried out for a relaxed structure of Tc2CSe.

Results
The calculation puts the density of states at the Fermi level at 0.783 states/eV per atom. Its symmetry is I-42d (122).

Unit cell a=6.035 b=6.035 c=6.035 alpha=129.13 beta=129.13 gamma=74.80
Fractional coordinates of all 8 atoms:
Tc  0.052  0.625  0.927
Tc  0.375  0.302  0.427
Tc  0.698  0.125  0.073
Tc  0.875  0.948  0.573
C  0.000  0.000  0.000
C  0.750  0.250  0.500
Se  0.250  0.750  0.500
Se  0.500  0.500  0.000



ii:
A plane-wave DFT calculation with PBE was carried out for a relaxed structure of Tc2CSe.

Results
The calculation puts the density of states at the Fermi level at 0.710 states/eV per atom. Its symmetry is Fm-3m (225).

Unit cell a=4.128 b=4.128 c=4.128 alpha=60.00 beta=60.00 gamma=60.00
Fractional coordinates of all 4 atoms:
Tc  0.250  0.250  0.250
Tc  0.750  0.750  0.750
C  0.000  0.000  0.000
Se  0.500  0.500  0.500



Most favorable structure: i. The second most favorable one is 444 meV/atom above it.



i:
A plane-wave DFT calculation with PBE was carried out for a relaxed structure of TcCSe3.

Results
The calculation puts the density of states at the Fermi level at 1.239 states/eV per atom. Its symmetry is Pm-3m (221).

Unit cell a=4.859 b=4.859 c=4.859 alpha=90.00 beta=90.00 gamma=90.00
Fractional coordinates of all 5 atoms:
Tc  0.000  0.000  0.000
C  0.500  0.500  0.500
Se  0.000  0.000  0.500
Se  0.000  0.500  0.000
Se  0.500  0.000  0.000



ii:
A plane-wave DFT calculation with PBE was carried out for a relaxed structure of TcCSe3.

Results
The calculation puts the density of states at the Fermi level at 0.561 states/eV per atom. Its symmetry is Pm-3m (221).

Unit cell a=4.274 b=4.274 c=4.274 alpha=90.00 beta=90.00 gamma=90.00
Fractional coordinates of all 5 atoms:
Tc  0.000  0.000  0.000
C  0.500  0.500  0.500
Se  0.000  0.500  0.500
Se  0.500  0.000  0.500
Se  0.500  0.500  0.000



Most favorable structure: ii. The second most favorable one is 347 meV/atom above it.